First-principles (PBEsol) data for crystalline SbMo2P2 at its relaxed geometry, as listed in the Alexandria database.

POSCAR file:
```
SbMo2P2
1.0
-1.0550 -3.3382 0.3638
2.9519 -1.1037 -1.5674
1.9703 1.9206 6.3103
Sb Mo P
1 2 2
Cartesian
0.0000 0.0000 0.0000 Sb
2.2182 -0.2283 4.3382 Mo
1.6491 -2.2931 0.7684 Mo
2.9354 -0.7021 2.0705 P
0.9319 -1.8193 3.0361 P
```

Output
Energy relative to the elements, uncorrected ... -0.84 eV/f.u.
Space-group type ... I4/mmm
DOS(E_F) ... 2.97 states/eV/cell
Raw total energy ... -8.103 eV per atom